Here is Cs2OsO5 after structural relaxation from Alexandria via LeMat-Bulk. Energies are from PBE.

```
8
Lattice="0.734 6.563 -1.790 -1.798 1.017 6.523 3.721 3.644 3.564" Properties=species:S:1:pos:R:3 pbc="T T T"
Cs 0.426 4.234 6.152
Cs 1.693 7.009 1.993
Os 3.485 3.652 3.498
O -0.295 6.228 4.065
O 3.835 9.222 3.213
O 2.208 5.659 8.554
O 0.387 1.314 0.994
O 1.778 3.708 3.015
```

Formation energy from raw total energies in meV per atom: -1381.9
E above lowest polymorph in meV per atom: 0
SG: Fmm2 (42)

Here is Nd2Sb4PdRh3 after structural relaxation from Alexandria via LeMat-Bulk. Energies are from PBE.

```
10
Lattice="-0.992 -3.331 -2.988 3.741 -2.296 1.318 -5.598 -4.911 7.333" Properties=species:S:1:pos:R:3 pbc="T T T"
Nd -1.924 -2.918 0.377
Nd -2.300 -4.806 6.121
Sb 1.375 -2.814 -0.835
Sb 0.000 0.000 0.000
Sb -4.037 -4.772 3.144
Sb -0.187 -2.953 3.354
Pd -1.424 -5.269 2.831
Rh -2.799 -2.455 3.666
Rh -5.415 -5.980 4.949
Rh 1.191 -1.744 1.549
```

Formation energy from raw total energies in meV per atom: -812.0
SG: P-4m2 (115)

Here is K2Ga2Au3 after structural relaxation from Alexandria via LeMat-Bulk. Energies are from PBE.

```
7
Lattice="-2.258 -2.655 -2.587 6.428 -0.266 -1.697 -2.687 -3.977 6.428" Properties=species:S:1:pos:R:3 pbc="T T T"
K 2.104 -3.486 -1.900
K -0.620 -3.412 4.044
Ga 0.696 -5.642 1.542
Ga 0.787 -1.256 0.603
Au -1.129 -1.328 -1.293
Au -0.594 -3.513 0.483
Au 2.077 -3.385 1.661
```

E above lowest polymorph in meV per atom: 8
SG: C2/m (12)
Formation energy from the elements in eV/atom: -0.294

Here is CuTe after structural relaxation from Alexandria via LeMat-Bulk. Energies are from PBE.

```
8
Lattice="-3.899 5.253 2.265 -1.933 -3.789 5.461 3.361 1.525 2.248" Properties=species:S:1:pos:R:3 pbc="T T T"
Cu -2.647 -0.506 4.300
Cu -3.353 2.025 7.792
Cu 0.882 0.963 2.182
Cu -3.185 1.969 3.425
Te -1.617 0.406 2.143
Te -1.781 4.002 4.100
Te -0.690 -1.014 5.873
Te -4.214 1.057 5.583
```

Formation energy from raw total energies in meV per atom: -5.9
SG: P4_2/mnm (136)

Here is La2ScTc after structural relaxation from Alexandria via LeMat-Bulk. Energies are from PBE.

```
4
Lattice="-2.548 4.450 -0.286 -1.409 -1.138 -4.806 -3.190 -1.740 1.347" Properties=species:S:1:pos:R:3 pbc="T T T"
La 0.000 0.000 0.000
La -1.979 1.656 -2.546
Sc -2.869 1.355 0.531
Tc -2.300 -1.439 -1.729
```

E above lowest polymorph in meV per atom: 254
SG: Cmmm (65)
Formation energy from the elements in eV/atom: 0.285

Here is TcRu2Rh after structural relaxation from Alexandria via LeMat-Bulk. Energies are from PBE.

```
4
Lattice="2.715 0.000 0.000 0.000 2.715 0.000 0.000 0.000 7.681" Properties=species:S:1:pos:R:3 pbc="T T T"
Rh 1.357 1.357 5.761
Ru 0.000 0.000 0.017
Ru 0.000 0.000 3.823
Tc 1.357 1.357 1.920
```

E above lowest polymorph in meV per atom: 114
SG: P4/mmm (123)
Formation energy from the elements in eV/atom: 0.039

Here is LiSm2PuS5 after structural relaxation from Alexandria via LeMat-Bulk. Energies are from PBE.

```
18
Lattice="3.970 0.000 0.000 -1.985 8.210 0.000 0.000 0.000 11.820" Properties=species:S:1:pos:R:3 pbc="T T T"
Li 1.985 0.280 11.582
Li 0.000 7.930 5.672
Sm 1.985 6.182 9.435
Sm 0.000 1.782 8.095
Sm 0.000 2.028 3.524
Sm 1.985 6.428 2.185
Pu 1.985 4.938 5.941
Pu 0.000 3.272 0.030
S 0.000 6.008 11.813
S 1.985 3.149 9.962
S 1.985 0.008 9.245
S 0.000 4.738 7.825
S 1.985 7.443 6.764
S 1.985 2.202 5.903
S 0.000 5.061 4.052
S 0.000 8.202 3.335
S 1.985 3.472 1.915
S 0.000 0.767 0.854
```

Formation energy from raw total energies in meV per atom: -1764.5
SG: Cmc2_1 (36)

Here is Cu2TcNi after structural relaxation from Alexandria via LeMat-Bulk. Energies are from PBE.

```
4
Lattice="4.386 -0.013 0.000 1.145 4.234 0.000 -2.766 -2.110 2.671" Properties=species:S:1:pos:R:3 pbc="T T T"
Cu 0.000 0.000 0.000
Cu 0.573 2.117 1.336
Ni 2.766 2.110 0.000
Tc 2.193 -0.007 1.336
```

E above lowest polymorph in meV per atom: 203
SG: I-4m2 (119)
Formation energy from the elements in eV/atom: 0.255

Here is Y2Mg2Ag after structural relaxation from Alexandria via LeMat-Bulk. Energies are from PBE.

```
10
Lattice="-7.246 0.014 -2.743 -0.592 -7.573 1.527 -1.699 1.038 4.492" Properties=species:S:1:pos:R:3 pbc="T T T"
Y -3.006 -6.400 0.343
Y -6.515 -4.944 -1.321
Y -4.833 -1.160 -1.559
Y -1.323 -2.616 0.105
Mg -2.280 -4.361 2.833
Mg -6.027 -5.949 1.783
Mg -7.257 -2.160 0.442
Mg -3.509 -0.572 1.492
Ag 0.000 0.000 0.000
Ag -3.919 -3.780 -0.608
```

E above lowest polymorph in meV per atom: 353
SG: P4/mbm (127)
Formation energy from the elements in eV/atom: 0.191

Here is PdSeS after structural relaxation from Alexandria via LeMat-Bulk. Energies are from PBE.

```
6
Lattice="-2.515 1.726 3.408 -2.548 -3.416 -1.655 4.243 -4.153 4.079" Properties=species:S:1:pos:R:3 pbc="T T T"
Pd -2.523 0.416 2.118
Pd 1.703 -6.259 3.714
Se 0.452 -1.161 1.177
Se -1.272 -4.682 4.655
S 0.792 -4.051 4.001
S -1.612 -1.792 1.831
```

Formation energy from raw total energies in meV per atom: -163.9
E above lowest polymorph in meV per atom: 99
SG: P-1 (2)

Here is Sr3Y2N4 after structural relaxation from Alexandria via LeMat-Bulk. Energies are from PBE.

```
18
Lattice="7.652 0.003 -0.006 -7.309 7.641 0.000 -0.120 -0.114 6.624" Properties=species:S:1:pos:R:3 pbc="T T T"
Y 2.745 1.077 3.904
Y -1.034 4.778 6.028
Y -2.522 6.453 2.715
Y 1.257 2.752 0.591
Sr -4.974 6.968 0.558
Sr 0.852 5.225 2.749
Sr 5.198 0.562 6.061
Sr -0.628 2.305 3.870
Sr -4.361 4.379 4.968
Sr -3.068 3.147 1.656
N -4.715 6.502 3.278
N 1.306 4.945 0.029
N 4.938 1.028 3.341
N -1.083 2.585 6.590
N 2.872 1.596 6.149
N -1.559 4.674 3.782
N -2.649 5.934 0.470
N 1.782 2.856 2.837
```

Formation energy from raw total energies in meV per atom: -905.9
SG: C2/c (15)

Here is La2AlP after structural relaxation from Alexandria via LeMat-Bulk. Energies are from PBE.

```
4
Lattice="6.188 -0.017 0.016 3.123 5.342 -0.016 -4.300 -3.284 3.002" Properties=species:S:1:pos:R:3 pbc="T T T"
P 4.363 2.495 0.000
Al 2.255 2.655 1.493
La 0.015 0.008 0.000
La 3.034 -0.455 1.509
```

E above lowest polymorph in meV per atom: 146
SG: Imm2 (44)
Formation energy from the elements in eV/atom: -0.685

Here is Tb3Pm6Sm after structural relaxation from Alexandria via LeMat-Bulk. Energies are from PBE.

```
20
Lattice="6.365 0.000 0.000 0.000 10.970 -1.700 0.000 -4.105 10.314" Properties=species:S:1:pos:R:3 pbc="T T T"
Tb 2.940 7.422 5.735
Tb 6.123 3.934 8.514
Tb 0.535 1.689 5.697
Tb 3.717 5.176 2.918
Tb 6.123 -0.556 2.879
Tb 2.940 2.931 0.100
Pm 0.318 5.209 5.264
Pm 3.500 3.969 6.253
Pm 2.366 1.903 8.844
Pm 5.548 8.196 3.828
Pm 2.383 10.415 -1.257
Pm 4.114 0.110 6.955
Pm 0.932 6.755 1.659
Pm 5.565 -3.549 9.871
Pm 2.366 -1.331 4.786
Pm 5.548 4.962 -0.229
Pm 0.318 2.896 2.362
Pm 3.500 1.656 3.350
Sm 0.721 -1.166 7.972
Sm 3.904 8.031 0.642
```

E above lowest polymorph in meV per atom: 18
SG: Cmc2_1 (36)
Formation energy from the elements in eV/atom: 0.142

Here is InBi2Br after structural relaxation from Alexandria via LeMat-Bulk. Energies are from PBE.

```
16
Lattice="4.445 0.000 0.000 0.000 7.905 -0.003 0.000 0.008 17.285" Properties=species:S:1:pos:R:3 pbc="T T T"
In 4.444 1.981 10.962
In 0.000 5.931 6.320
In 2.222 1.983 14.965
In 2.223 5.929 2.317
Bi 3.328 7.435 16.317
Bi 1.117 0.477 0.965
Bi 1.105 4.433 9.606
Bi 3.339 3.479 7.676
Bi 3.328 3.476 0.964
Bi 1.117 4.436 16.318
Bi 1.105 0.480 7.677
Bi 3.339 7.432 9.605
Br 1.111 4.281 4.320
Br 3.333 3.632 12.963
Br 3.334 7.580 4.318
Br 1.111 0.332 12.964
```

Formation energy from raw total energies in meV per atom: -221.7
E above lowest polymorph in meV per atom: 0
SG: Pnna (52)

Here is Ti2In2Rh after structural relaxation from Alexandria via LeMat-Bulk. Energies are from PBE.

```
10
Lattice="6.941 0.000 0.000 0.000 6.941 0.000 0.000 0.000 3.941" Properties=species:S:1:pos:R:3 pbc="T T T"
Ti 1.124 4.594 1.970
Ti 4.594 5.817 1.970
Ti 5.817 2.346 1.970
Ti 2.346 1.124 1.970
Rh 0.000 0.000 0.000
Rh 3.470 3.470 0.000
In 2.478 5.948 0.000
In 5.948 4.463 0.000
In 4.463 0.992 0.000
In 0.992 2.478 0.000
```

SG: P4/mbm (127)
Formation energy from the elements in eV/atom: -0.036

Here is LiCaGa2Ir after structural relaxation from Alexandria via LeMat-Bulk. Energies are from PBE.

```
5
Lattice="-2.609 -1.017 3.862 -2.150 -3.530 -2.382 3.395 -3.070 1.485" Properties=species:S:1:pos:R:3 pbc="T T T"
Ca -0.682 -3.808 1.483
Ir 0.000 0.000 0.000
Ga -1.075 -1.765 -1.191
Ga -1.305 -0.508 1.931
Li 1.697 -1.535 0.743
```

SG: P4/mmm (123)
Formation energy from the elements in eV/atom: -0.357

Here is NaTi3Be after structural relaxation from Alexandria via LeMat-Bulk. Energies are from PBE.

```
5
Lattice="-1.973 0.007 4.132 2.434 -3.698 1.168 3.339 2.700 1.590" Properties=species:S:1:pos:R:3 pbc="T T T"
Na 1.900 -0.496 3.445
Be 0.000 0.000 0.000
Ti 1.217 -1.849 0.584
Ti 1.670 1.350 0.795
Ti -0.986 0.003 2.066
```

E above lowest polymorph in meV per atom: 0
SG: Pm-3m (221)
Formation energy from the elements in eV/atom: 0.735

Here is CaMg3Ga after structural relaxation from Alexandria via LeMat-Bulk. Energies are from PBE.

```
10
Lattice="4.375 0.000 0.000 0.000 7.158 1.906 0.000 0.242 8.009" Properties=species:S:1:pos:R:3 pbc="T T T"
Ca 1.667 3.850 2.834
Ca 3.855 1.175 4.908
Mg 3.854 4.955 5.349
Mg 1.667 7.228 4.300
Mg 3.854 5.108 8.343
Mg 3.854 1.791 0.867
Mg 1.667 3.233 6.877
Mg 1.667 7.316 9.315
Ga 1.667 6.063 6.825
Ga 3.855 6.120 2.823
```

E above lowest polymorph in meV per atom: 0
SG: P2_1/m (11)
Formation energy from the elements in eV/atom: -0.192

Here is La2SiAgO6 after structural relaxation from Alexandria via LeMat-Bulk. Energies are from PBE.

```
10
Lattice="-3.234 1.356 2.871 0.194 -4.879 2.523 3.845 1.923 3.424" Properties=species:S:1:pos:R:3 pbc="T T T"
La -0.001 -2.398 1.349
La 1.825 1.003 1.799
Si -1.947 0.816 1.728
Ag 0.110 -0.677 4.668
O -1.424 0.323 3.335
O 0.750 1.410 5.271
O 1.658 -1.326 3.295
O -0.764 0.320 0.678
O 0.860 -1.348 6.697
O -1.314 -2.436 4.761
```

Formation energy from raw total energies in meV per atom: -2444.8
SG: P4mm (99)

Here is YTi2O4 after structural relaxation from Alexandria via LeMat-Bulk. Energies are from PBE.

```
14
Lattice="0.000 4.478 4.478 4.478 0.000 4.478 4.478 4.478 0.000" Properties=species:S:1:pos:R:3 pbc="T T T"
Y 2.239 2.239 2.239
Y 0.000 0.000 0.000
Ti 5.597 3.358 3.358
Ti 5.597 5.597 5.597
Ti 3.358 3.358 5.597
Ti 3.358 5.597 3.358
O 5.479 5.479 3.477
O 5.716 7.718 5.716
O 7.718 5.716 5.716
O 7.718 7.718 7.718
O 5.479 3.477 5.479
O 5.716 5.716 7.718
O 3.477 5.479 5.479
O 3.477 3.477 3.477
```

Formation energy from raw total energies in meV per atom: -2805.5
E above lowest polymorph in meV per atom: 44
SG: Fd-3m (227)

Calculated final energy, -48.78 -61.39 -20.14 -29.00 -25.41 -36.11 -124.40 -23.32 -36.03 -26.59 -118.86 -21.75 -91.39 -52.24 -57.59 -20.61 -25.05 -21.54 -72.33 -123.45 eV for the cell shown (same order as the records).
Calculated N(E_F), 0.000 0.596 0.250 0.804 1.314 1.106 1.336 1.055 1.543 0.150 0.004 0.722 1.399 0.055 1.415 0.453 1.608 0.524 0.226 0.771 states/eV/atom (same order as the records).